1.
# Dy8AgHg2 GGA-PBE relaxed
data_Dy8AgHg2
_cell_length_a 5.1840
_cell_length_b 6.9417
_cell_length_c 9.3800
_cell_angle_alpha 104.30
_cell_angle_beta 106.04
_cell_angle_gamma 90.00
_space_group_name_H-M_alt 'P 1'
_space_group_IT_number 1
_space_group_name_Hall 'P 1'
loop_
_atom_site_label
_atom_site_type_symbol
_atom_site_fract_x
_atom_site_fract_y
_atom_site_fract_z
_atom_site_occupancy
Dy1 Dy 0.1984 0.3124 0.3968 1
Dy2 Dy 0.8016 0.6876 0.6032 1
Dy3 Dy 0.0245 0.7684 0.0490 1
Dy4 Dy 0.3378 0.0325 0.6756 1
Dy5 Dy 0.9755 0.2316 0.9510 1
Dy6 Dy 0.4098 0.5447 0.8195 1
Dy7 Dy 0.5902 0.4553 0.1805 1
Dy8 Dy 0.6622 0.9675 0.3244 1
Ag1 Ag 0.5000 0.0000 0.0000 1
Hg1 Hg 0.1879 0.7292 0.3757 1
Hg2 Hg 0.8121 0.2708 0.6243 1
# - Space group: No. 12
# - E_tot: -42.4 eV per cell
# - Total magnetization: 0.000 μB per formula unit
# - DFT formation energy: -0.19 eV/atom

---

2.
# In2SnBr2 GGA-PBE relaxed
data_In2SnBr2
_cell_length_a 8.1894
_cell_length_b 8.1894
_cell_length_c 4.9327
_cell_angle_alpha 90.00
_cell_angle_beta 90.00
_cell_angle_gamma 90.00
_space_group_name_H-M_alt 'P 1'
_space_group_IT_number 1
_space_group_name_Hall 'P 1'
loop_
_atom_site_label
_atom_site_type_symbol
_atom_site_fract_x
_atom_site_fract_y
_atom_site_fract_z
_atom_site_occupancy
Br1 Br 0.1603 0.3397 0.0000 1
Br2 Br 0.8397 0.6603 0.0000 1
Br3 Br 0.3397 0.8397 0.0000 1
Br4 Br 0.6603 0.1603 0.0000 1
Sn1 Sn 0.0000 0.0000 0.0000 1
Sn2 Sn 0.5000 0.5000 0.0000 1
In1 In 0.3352 0.1648 0.5000 1
In2 In 0.1648 0.6648 0.5000 1
In3 In 0.6648 0.8352 0.5000 1
In4 In 0.8352 0.3352 0.5000 1
# - Space group: No. 127
# - E_tot: -27.9 eV per cell
# - Total magnetization: 0.000 μB per formula unit
# - Formation energy without anion corrections: -1.1 eV/f.u.

---

3.
# LiSmHg4 GGA-PBE relaxed
data_LiSmHg4
_cell_length_a 5.9364
_cell_length_b 5.9364
_cell_length_c 5.9364
_cell_angle_alpha 60.00
_cell_angle_beta 60.00
_cell_angle_gamma 60.00
_space_group_name_H-M_alt 'P 1'
_space_group_IT_number 1
_space_group_name_Hall 'P 1'
loop_
_atom_site_label
_atom_site_type_symbol
_atom_site_fract_x
_atom_site_fract_y
_atom_site_fract_z
_atom_site_occupancy
Hg1 Hg 0.6248 0.6248 0.6248 1
Hg2 Hg 0.6248 0.1255 0.6248 1
Hg3 Hg 0.6248 0.6248 0.1255 1
Hg4 Hg 0.1255 0.6248 0.6248 1
Sm1 Sm 0.0000 0.0000 0.0000 1
Li1 Li 0.2500 0.2500 0.2500 1
# - Space group: No. 216
# - E_tot: -8.7 eV per cell
# - Total magnetization: 0.000 μB per formula unit
# - DFT formation energy: -0.15 eV/atom

---

4.
# Rb3GaP2 GGA-PBE relaxed
data_Rb3GaP2
_cell_length_a 9.2269
_cell_length_b 14.9482
_cell_length_c 25.1267
_cell_angle_alpha 90.00
_cell_angle_beta 90.00
_cell_angle_gamma 90.00
_space_group_name_H-M_alt 'P 1'
_space_group_IT_number 1
_space_group_name_Hall 'P 1'
loop_
_atom_site_label
_atom_site_type_symbol
_atom_site_fract_x
_atom_site_fract_y
_atom_site_fract_z
_atom_site_occupancy
P1 P 0.6193 0.7347 0.5444 1
P2 P 0.1869 0.5457 0.8345 1
P3 P 0.6869 0.9543 0.1655 1
P4 P 0.1755 0.4559 0.1037 1
P5 P 0.3131 0.4543 0.3345 1
P6 P 0.5774 0.8186 0.8047 1
P7 P 0.1193 0.7347 0.9556 1
P8 P 0.1869 0.9543 0.3345 1
P9 P 0.8131 0.0457 0.6655 1
P10 P 0.3807 0.2347 0.9556 1
P11 P 0.1755 0.0441 0.6037 1
P12 P 0.1193 0.7653 0.4556 1
P13 P 0.4226 0.1814 0.1953 1
P14 P 0.6193 0.7653 0.0444 1
P15 P 0.3807 0.2653 0.4556 1
P16 P 0.8245 0.9559 0.3963 1
P17 P 0.9226 0.3186 0.8047 1
P18 P 0.6755 0.0441 0.8963 1
P19 P 0.8131 0.4543 0.1655 1
P20 P 0.8807 0.2653 0.0444 1
P21 P 0.3131 0.0457 0.8345 1
P22 P 0.6869 0.5457 0.6655 1
P23 P 0.9226 0.1814 0.3047 1
P24 P 0.5774 0.6814 0.3047 1
P25 P 0.3245 0.9559 0.1037 1
P26 P 0.6755 0.4559 0.3963 1
P27 P 0.3245 0.5441 0.6037 1
P28 P 0.4226 0.3186 0.6953 1
P29 P 0.8807 0.2347 0.5444 1
P30 P 0.0774 0.8186 0.6953 1
P31 P 0.8245 0.5441 0.8963 1
P32 P 0.0774 0.6814 0.1953 1
Rb1 Rb 0.0382 0.3516 0.4121 1
Rb2 Rb 0.3581 0.9057 0.9729 1
Rb3 Rb 0.4618 0.6484 0.9121 1
Rb4 Rb 0.7173 0.3227 0.9286 1
Rb5 Rb 0.8581 0.5943 0.0271 1
Rb6 Rb 0.2118 0.8183 0.8299 1
Rb7 Rb 0.8887 0.9590 0.7904 1
Rb8 Rb 0.2882 0.1817 0.3299 1
Rb9 Rb 0.9618 0.6484 0.5879 1
Rb10 Rb 0.3586 0.8297 0.2242 1
Rb11 Rb 0.7118 0.6817 0.1701 1
Rb12 Rb 0.1414 0.1703 0.7242 1
Rb13 Rb 0.2173 0.1773 0.0714 1
Rb14 Rb 0.7882 0.3183 0.6701 1
Rb15 Rb 0.5382 0.1484 0.5879 1
Rb16 Rb 0.2118 0.6817 0.3299 1
Rb17 Rb 0.3586 0.6703 0.7242 1
Rb18 Rb 0.8581 0.9057 0.5271 1
Rb19 Rb 0.7827 0.6773 0.4286 1
Rb20 Rb 0.0382 0.1484 0.9121 1
Rb21 Rb 0.7882 0.1817 0.1701 1
Rb22 Rb 0.4618 0.8516 0.4121 1
Rb23 Rb 0.6113 0.4590 0.7904 1
Rb24 Rb 0.8586 0.6703 0.7758 1
Rb25 Rb 0.5382 0.3516 0.0879 1
Rb26 Rb 0.3581 0.5943 0.4729 1
Rb27 Rb 0.7118 0.8183 0.6701 1
Rb28 Rb 0.6419 0.0943 0.0271 1
Rb29 Rb 0.1419 0.0943 0.4729 1
Rb30 Rb 0.2827 0.6773 0.0714 1
Rb31 Rb 0.6419 0.4057 0.5271 1
Rb32 Rb 0.1419 0.4057 0.9729 1
Rb33 Rb 0.2173 0.3227 0.5714 1
Rb34 Rb 0.1414 0.3297 0.2242 1
Rb35 Rb 0.1113 0.4590 0.7096 1
Rb36 Rb 0.7827 0.8227 0.9286 1
Rb37 Rb 0.3887 0.9590 0.7096 1
Rb38 Rb 0.8586 0.8297 0.2758 1
Rb39 Rb 0.2827 0.8227 0.5714 1
Rb40 Rb 0.3887 0.5410 0.2096 1
Rb41 Rb 0.8887 0.5410 0.2904 1
Rb42 Rb 0.6414 0.3297 0.2758 1
Rb43 Rb 0.1113 0.0410 0.2096 1
Rb44 Rb 0.2882 0.3183 0.8299 1
Rb45 Rb 0.9618 0.8516 0.0879 1
Rb46 Rb 0.6113 0.0410 0.2904 1
Rb47 Rb 0.6414 0.1703 0.7758 1
Rb48 Rb 0.7173 0.1773 0.4286 1
Ga1 Ga 0.0275 0.5455 0.1589 1
Ga2 Ga 0.9725 0.4545 0.8411 1
Ga3 Ga 0.4725 0.0455 0.1589 1
Ga4 Ga 0.5275 0.9545 0.8411 1
Ga5 Ga 0.0499 0.8774 0.4013 1
Ga6 Ga 0.9501 0.3774 0.0987 1
Ga7 Ga 0.9501 0.1226 0.5987 1
Ga8 Ga 0.5499 0.8774 0.0987 1
Ga9 Ga 0.9725 0.0455 0.3411 1
Ga10 Ga 0.5275 0.5455 0.3411 1
Ga11 Ga 0.5499 0.6226 0.5987 1
Ga12 Ga 0.0499 0.6226 0.9013 1
Ga13 Ga 0.4501 0.1226 0.9013 1
Ga14 Ga 0.4725 0.4545 0.6589 1
Ga15 Ga 0.0275 0.9545 0.6589 1
Ga16 Ga 0.4501 0.3774 0.4013 1
# - Space group: No. 61
# - E_tot: -307.1 eV per cell
# - Total magnetization: 0.000 μB per formula unit
# - DFT formation energy: -0.41 eV/atom

---

5.
# Hg2Ir GGA-PBE relaxed
data_Hg2Ir
_cell_length_a 5.5272
_cell_length_b 5.5272
_cell_length_c 5.5272
_cell_angle_alpha 60.00
_cell_angle_beta 60.00
_cell_angle_gamma 60.00
_space_group_name_H-M_alt 'P 1'
_space_group_IT_number 1
_space_group_name_Hall 'P 1'
loop_
_atom_site_label
_atom_site_type_symbol
_atom_site_fract_x
_atom_site_fract_y
_atom_site_fract_z
_atom_site_occupancy
Ir1 Ir 0.2500 0.2500 0.2500 1
Ir2 Ir 0.0000 0.0000 0.0000 1
Hg1 Hg 0.6250 0.1250 0.6250 1
Hg2 Hg 0.6250 0.6250 0.1250 1
Hg3 Hg 0.6250 0.6250 0.6250 1
Hg4 Hg 0.1250 0.6250 0.6250 1
# - Space group: No. 227
# - E_tot: -12.5 eV per cell
# - Total magnetization: 0.000 μB per formula unit
# - DFT formation energy: 1.08 eV/atom

---

6.
# ZrReP GGA-PBE relaxed
data_ZrReP
_cell_length_a 5.2595
_cell_length_b 4.0649
_cell_length_c 10.1362
_cell_angle_alpha 90.00
_cell_angle_beta 106.30
_cell_angle_gamma 90.00
_space_group_name_H-M_alt 'P 1'
_space_group_IT_number 1
_space_group_name_Hall 'P 1'
loop_
_atom_site_label
_atom_site_type_symbol
_atom_site_fract_x
_atom_site_fract_y
_atom_site_fract_z
_atom_site_occupancy
Re1 Re 0.0759 0.5000 0.5584 1
Re2 Re 0.7375 0.5000 0.9726 1
Re3 Re 0.7375 0.0000 0.4726 1
Re4 Re 0.0759 0.0000 0.0584 1
P1 P 0.3159 0.5000 0.0186 1
P2 P 0.7249 0.0000 0.8451 1
P3 P 0.7249 0.5000 0.3451 1
P4 P 0.3159 0.0000 0.5186 1
Zr1 Zr 0.6235 0.5000 0.6640 1
Zr2 Zr 0.6235 0.0000 0.1640 1
Zr3 Zr 0.1944 0.0000 0.7789 1
Zr4 Zr 0.1944 0.5000 0.2789 1
# - Space group: No. 8
# - E_tot: -112.3 eV per cell
# - Total magnetization: 0.000 μB per formula unit
# - DFT formation energy: -0.56 eV/atom

---

7.
# Si2PIr GGA-PBE relaxed
data_Si2PIr
_cell_length_a 2.7324
_cell_length_b 4.5803
_cell_length_c 4.4979
_cell_angle_alpha 90.00
_cell_angle_beta 90.00
_cell_angle_gamma 90.00
_space_group_name_H-M_alt 'P 1'
_space_group_IT_number 1
_space_group_name_Hall 'P 1'
loop_
_atom_site_label
_atom_site_type_symbol
_atom_site_fract_x
_atom_site_fract_y
_atom_site_fract_z
_atom_site_occupancy
Ir1 Ir 0.5000 0.0000 0.5000 1
Si1 Si 0.5000 0.5000 0.0000 1
Si2 Si 0.0000 0.0000 0.0000 1
P1 P 0.0000 0.5000 0.5000 1
# - Space group: No. 47
# - E_tot: -23.9 eV per cell
# - Total magnetization: 0.000 μB per formula unit
# - Formation energy without anion corrections: 1.2 eV/f.u.

---

8.
# ZrZnW3 GGA-PBE relaxed
data_ZrZnW3
_cell_length_a 4.6002
_cell_length_b 4.6002
_cell_length_c 4.6002
_cell_angle_alpha 90.00
_cell_angle_beta 90.00
_cell_angle_gamma 90.00
_space_group_name_H-M_alt 'P 1'
_space_group_IT_number 1
_space_group_name_Hall 'P 1'
loop_
_atom_site_label
_atom_site_type_symbol
_atom_site_fract_x
_atom_site_fract_y
_atom_site_fract_z
_atom_site_occupancy
W1 W 0.5000 0.0000 0.0000 1
W2 W 0.0000 0.0000 0.5000 1
W3 W 0.0000 0.5000 0.0000 1
Zn1 Zn 0.0000 0.0000 0.0000 1
Zr1 Zr 0.5000 0.5000 0.5000 1
# - Space group: No. 221
# - E_tot: -40.9 eV per cell
# - Total magnetization: 0.000 μB per formula unit
# - DFT formation energy: 1.56 eV/atom

---

9.
# Al2TlI2 GGA-PBE relaxed
data_Al2TlI2
_cell_length_a 3.9675
_cell_length_b 3.9675
_cell_length_c 10.3178
_cell_angle_alpha 78.91
_cell_angle_beta 78.91
_cell_angle_gamma 90.00
_space_group_name_H-M_alt 'P 1'
_space_group_IT_number 1
_space_group_name_Hall 'P 1'
loop_
_atom_site_label
_atom_site_type_symbol
_atom_site_fract_x
_atom_site_fract_y
_atom_site_fract_z
_atom_site_occupancy
Tl1 Tl 0.0000 0.0000 0.0000 1
I1 I 0.6128 0.6128 0.7743 1
I2 I 0.3872 0.3872 0.2257 1
Al1 Al 0.7500 0.2500 0.5000 1
Al2 Al 0.2500 0.7500 0.5000 1
# - Space group: No. 139
# - E_tot: -13.5 eV per cell
# - Total magnetization: 0.000 μB per formula unit
# - Formation energy without anion corrections: -0.6 eV/f.u.

---

10.
# ReSbCl2 GGA-PBE relaxed
data_ReSbCl2
_cell_length_a 3.0358
_cell_length_b 3.0358
_cell_length_c 10.3465
_cell_angle_alpha 90.00
_cell_angle_beta 90.00
_cell_angle_gamma 90.00
_space_group_name_H-M_alt 'P 1'
_space_group_IT_number 1
_space_group_name_Hall 'P 1'
loop_
_atom_site_label
_atom_site_type_symbol
_atom_site_fract_x
_atom_site_fract_y
_atom_site_fract_z
_atom_site_occupancy
Cl1 Cl 0.0000 0.0000 0.3930 1
Cl2 Cl 0.0000 0.0000 0.1070 1
Sb1 Sb 0.5000 0.5000 0.7500 1
Re1 Re 0.5000 0.5000 0.2500 1
# - Space group: No. 123
# - E_tot: -17.5 eV per cell
# - Total magnetization: 0.738 μB per formula unit
# - Formation energy without anion corrections: 2.8 eV/f.u.

---

11.
# Sc3Tl2H2 GGA-PBE relaxed
data_Sc3Tl2H2
_cell_length_a 4.2906
_cell_length_b 5.5288
_cell_length_c 6.2680
_cell_angle_alpha 110.16
_cell_angle_beta 90.00
_cell_angle_gamma 112.83
_space_group_name_H-M_alt 'P 1'
_space_group_IT_number 1
_space_group_name_Hall 'P 1'
loop_
_atom_site_label
_atom_site_type_symbol
_atom_site_fract_x
_atom_site_fract_y
_atom_site_fract_z
_atom_site_occupancy
Tl1 Tl 0.6551 0.3102 0.8266 1
Tl2 Tl 0.3449 0.6898 0.1734 1
H1 H 0.1234 0.2468 0.3756 1
H2 H 0.8766 0.7532 0.6244 1
Sc1 Sc 0.6694 0.3388 0.3437 1
Sc2 Sc 0.3306 0.6612 0.6563 1
Sc3 Sc 0.0000 0.0000 0.0000 1
# - Space group: No. 12
# - E_tot: -31.9 eV per cell
# - Total magnetization: 1.584 μB per formula unit

---

12.
# TaAu2Br GGA-PBE relaxed
data_TaAu2Br
_cell_length_a 4.7251
_cell_length_b 4.7251
_cell_length_c 4.7251
_cell_angle_alpha 120.00
_cell_angle_beta 120.00
_cell_angle_gamma 90.00
_space_group_name_H-M_alt 'P 1'
_space_group_IT_number 1
_space_group_name_Hall 'P 1'
loop_
_atom_site_label
_atom_site_type_symbol
_atom_site_fract_x
_atom_site_fract_y
_atom_site_fract_z
_atom_site_occupancy
Br1 Br 0.5000 0.5000 0.0000 1
Ta1 Ta 0.7500 0.2500 0.5000 1
Au1 Au 0.0000 0.0000 0.0000 1
Au2 Au 0.2500 0.7500 0.5000 1
# - Space group: No. 216
# - E_tot: -18.1 eV per cell
# - Total magnetization: 0.000 μB per formula unit
# - Formation energy without anion corrections: 1.9 eV/f.u.

---

Please write out number 2 again, unchanged.
# In2SnBr2 GGA-PBE relaxed
data_In2SnBr2
_cell_length_a 8.1894
_cell_length_b 8.1894
_cell_length_c 4.9327
_cell_angle_alpha 90.00
_cell_angle_beta 90.00
_cell_angle_gamma 90.00
_space_group_name_H-M_alt 'P 1'
_space_group_IT_number 1
_space_group_name_Hall 'P 1'
loop_
_atom_site_label
_atom_site_type_symbol
_atom_site_fract_x
_atom_site_fract_y
_atom_site_fract_z
_atom_site_occupancy
Br1 Br 0.1603 0.3397 0.0000 1
Br2 Br 0.8397 0.6603 0.0000 1
Br3 Br 0.3397 0.8397 0.0000 1
Br4 Br 0.6603 0.1603 0.0000 1
Sn1 Sn 0.0000 0.0000 0.0000 1
Sn2 Sn 0.5000 0.5000 0.0000 1
In1 In 0.3352 0.1648 0.5000 1
In2 In 0.1648 0.6648 0.5000 1
In3 In 0.6648 0.8352 0.5000 1
In4 In 0.8352 0.3352 0.5000 1
# - Space group: No. 127
# - E_tot: -27.9 eV per cell
# - Total magnetization: 0.000 μB per formula unit
# - Formation energy without anion corrections: -1.1 eV/f.u.

---

- Look up the E_tot of the eighth one.
  -40.9 eV per cell

---

- Which formula does entry 4 have?
  Rb3GaP2

---

- Among the records above, which one has the lowest E_tot?
  Rb3GaP2